No. 1
Crystalline Rb4PaS5 at its relaxed geometry. Source: the Alexandria database, functional GGA-PBE.

Computed properties:
calculated density: 3.42 g cm⁻³
formation energy (no corrections): -1.257 eV per atom
space group: No. 79
size of the total moment: 1.109 μB per cell
DFT total energy: -46.575 eV per formula unit

Lattice parameters (Å, degrees): 8.0264 8.0264 8.0264 100.03 100.03 130.68
Closest atoms and distances in Å follow each position.
Positions (direct):
Rb (0.0915, 0.7025, 0.7939)  5 S 3.25-3.46
Rb (0.2975, 0.0915, 0.3890)  5 S 3.25-3.46
Rb (0.7025, 0.9085, 0.6110)  5 S 3.25-3.46
Rb (0.9085, 0.2975, 0.2061)  5 S 3.25-3.46
Pa (0.4556, 0.4556, 0.0000)  5 S 2.56-2.61
S (0.0736, 0.0736, 0.0000)  1 Pa 2.56
S (0.2655, 0.4297, 0.6853)  1 Pa 2.61
S (0.4297, 0.7444, 0.1642)  1 Pa 2.61
S (0.5802, 0.2655, 0.8358)  1 Pa 2.61
S (0.7444, 0.5802, 0.3147)  1 Pa 2.61

---

No. 2
Crystalline Hf2GaW at its relaxed geometry. Source: the Alexandria database, functional GGA-PBE.

Computed properties:
calculated density: 12.73 g cm⁻³
space group: No. 122
calculated formation energy: 0.50 eV per atom
size of the total moment: 0.000 μB per cell
DFT total energy: -33.893 eV per formula unit

Lattice parameters (Å, degrees): 6.0304 6.0304 6.0304 102.28 102.28 125.07
Closest atoms and distances in Å follow each position.
Positions (direct):
Hf (0.1210, 0.6250, 0.9960)  2 W 2.74, 2 Hf 2.78, 2 Ga 2.79
Hf (0.3750, 0.3710, 0.4960)  2 W 2.74, 2 Hf 2.78, 2 Ga 2.79
Hf (0.6290, 0.1250, 0.0040)  2 W 2.74, 2 Hf 2.78, 2 Ga 2.79
Hf (0.8750, 0.8790, 0.5040)  2 W 2.74, 2 Hf 2.78, 2 Ga 2.79
Ga (0.2500, 0.7500, 0.5000)  2 W 2.78, 4 Hf 2.79
Ga (0.5000, 0.5000, 0.0000)  2 W 2.78, 4 Hf 2.79
W (0.0000, 0.0000, 0.0000)  4 Hf 2.74, 2 Ga 2.78
W (0.7500, 0.2500, 0.5000)  4 Hf 2.74, 2 Ga 2.78

---

No. 3
Crystalline CsUTe2O8 at its relaxed geometry. Source: the Alexandria database, functional GGA-PBE.

Computed properties:
calculated density: 4.18 g cm⁻³
formation energy (no corrections): -1.677 eV per atom
space group: No. 147
size of the total moment: 0.000 μB per cell
DFT total energy: -78.216 eV per formula unit

Lattice parameters (Å, degrees): 6.4213 6.4213 8.3928 90.00 90.00 120.00
Closest atoms and distances in Å follow each position.
Positions (direct):
Cs (0.0000, 0.0000, 0.0000)  6 O 3.39
U (0.0000, 0.0000, 0.5000)  6 O 2.08
Te (0.3333, 0.6667, 0.6848)  1 O 1.81
Te (0.6667, 0.3333, 0.3152)  1 O 1.81
O (0.1480, 0.3006, 0.6483)  1 Te 2.06, 1 U 2.08
O (0.1526, 0.8520, 0.6483)  1 Te 2.06, 1 U 2.08
O (0.3006, 0.1526, 0.3517)  1 Te 2.06, 1 U 2.08
O (0.3333, 0.6667, 0.9006)  1 Te 1.81
O (0.6667, 0.3333, 0.0994)  1 Te 1.81
O (0.6994, 0.8474, 0.6483)  1 Te 2.06, 1 U 2.08
O (0.8474, 0.1480, 0.3517)  1 Te 2.06, 1 U 2.08
O (0.8520, 0.6994, 0.3517)  1 Te 2.06, 1 U 2.08

---

No. 4
Crystalline In2Pb2Se at its relaxed geometry. Source: the Alexandria database, functional GGA-PBE.

Computed properties:
calculated density: 8.19 g cm⁻³
formation energy (no corrections): 0.043 eV per atom
space group: No. 127
size of the total moment: 0.000 μB per cell
DFT total energy: -16.163 eV per formula unit

Lattice parameters (Å, degrees): 7.8717 7.8717 4.7305 90.00 90.00 90.00
Closest atoms and distances in Å follow each position.
Positions (direct):
In (0.1483, 0.3517, 0.0000)  2 Se 3.00, 2 Pb 3.22, 1 In 3.30
In (0.3517, 0.8517, 0.0000)  2 Se 3.00, 2 Pb 3.22, 1 In 3.30
In (0.6483, 0.1483, 0.0000)  2 Se 3.00, 2 Pb 3.22, 1 In 3.30
In (0.8517, 0.6483, 0.0000)  2 Se 3.00, 2 Pb 3.22, 1 In 3.30
Pb (0.1560, 0.6560, 0.5000)  6 In 3.22-3.37, 1 Pb 3.47
Pb (0.3440, 0.1560, 0.5000)  6 In 3.22-3.37, 1 Pb 3.47
Pb (0.6560, 0.8440, 0.5000)  6 In 3.22-3.37, 1 Pb 3.47
Pb (0.8440, 0.3440, 0.5000)  6 In 3.22-3.37, 1 Pb 3.47
Se (0.0000, 0.0000, 0.0000)  4 In 3.00
Se (0.5000, 0.5000, 0.0000)  4 In 3.00

---

No. 5
Crystalline Tl2TeS at its relaxed geometry. Source: the Alexandria database, functional GGA-PBE.

Computed properties:
calculated density: 5.99 g cm⁻³
formation energy (no corrections): -0.079 eV per atom
space group: No. 122
size of the total moment: 0.000 μB per cell
DFT total energy: -12.318 eV per formula unit

Lattice parameters (Å, degrees): 8.2499 8.2499 8.2499 130.73 130.73 72.24
Closest atoms and distances in Å follow each position.
Positions (direct):
Tl (0.0904, 0.6250, 0.9654)  2 S 2.82, 2 Te 3.09
Tl (0.3750, 0.3404, 0.4654)  2 S 2.82, 2 Te 3.09
Tl (0.6596, 0.1250, 0.0346)  2 S 2.82, 2 Te 3.09
Tl (0.8750, 0.9096, 0.5346)  2 S 2.82, 2 Te 3.09
Te (0.2500, 0.7500, 0.5000)  4 Tl 3.09
Te (0.5000, 0.5000, 0.0000)  4 Tl 3.09
S (0.0000, 0.0000, 0.0000)  4 Tl 2.82
S (0.7500, 0.2500, 0.5000)  4 Tl 2.82

---

No. 6
Crystalline TlRuF2 at its relaxed geometry. Source: the Alexandria database, functional GGA-PBE.

Computed properties:
calculated density: 8.01 g cm⁻³
formation energy (no corrections): -0.652 eV per atom
space group: No. 122
size of the total moment: 6.000 μB per cell
DFT total energy: -17.991 eV per formula unit

Lattice parameters (Å, degrees): 8.1418 8.1418 8.1418 149.04 149.04 44.35
Closest atoms and distances in Å follow each position.
Positions (direct):
Tl (0.0000, 0.0000, 0.0000)  4 F 2.65
Tl (0.7500, 0.2500, 0.5000)  4 F 2.65
Ru (0.2500, 0.7500, 0.5000)  4 F 2.27
Ru (0.5000, 0.5000, 0.0000)  4 F 2.27
F (0.2231, 0.6250, 0.0981)  2 Ru 2.27, 2 F 2.54
F (0.3750, 0.4731, 0.5981)  2 Ru 2.27, 2 F 2.54
F (0.5269, 0.1250, 0.9019)  2 Ru 2.27, 2 F 2.54
F (0.8750, 0.7769, 0.4019)  2 Ru 2.27, 2 F 2.54

---

No. 7
Crystalline HfTi12Sb6 at its relaxed geometry. Source: the Alexandria database, functional GGA-PBE.

Computed properties:
calculated density: 6.79 g cm⁻³
formation energy (no corrections): -0.248 eV per atom
space group: No. 148
size of the total moment: 0.000 μB per cell
DFT total energy: -134.143 eV per formula unit

Lattice parameters (Å, degrees): 7.8939 7.8939 7.8939 110.55 110.55 110.55
Closest atoms and distances in Å follow each position.
Positions (direct):
Hf (0.0000, 0.0000, 0.0000)  12 Ti 3.00-3.04
Ti (0.1042, 0.1813, 0.7428)  5 Sb 2.89-3.14, 6 Ti 2.91-3.22, 1 Hf 3.04
Ti (0.1813, 0.7428, 0.1042)  5 Sb 2.89-3.14, 6 Ti 2.91-3.22, 1 Hf 3.04
Ti (0.2056, 0.3248, 0.4653)  3 Sb 2.80-2.92, 6 Ti 2.91-3.02, 1 Hf 3.00
Ti (0.2572, 0.8958, 0.8187)  5 Sb 2.89-3.14, 6 Ti 2.91-3.22, 1 Hf 3.04
Ti (0.3248, 0.4653, 0.2056)  3 Sb 2.80-2.92, 6 Ti 2.91-3.02, 1 Hf 3.00
Ti (0.4653, 0.2056, 0.3248)  3 Sb 2.80-2.92, 6 Ti 2.91-3.02, 1 Hf 3.00
Ti (0.5347, 0.7944, 0.6752)  3 Sb 2.80-2.92, 6 Ti 2.91-3.02, 1 Hf 3.00
Ti (0.6752, 0.5347, 0.7944)  3 Sb 2.80-2.92, 6 Ti 2.91-3.02, 1 Hf 3.00
Ti (0.7428, 0.1042, 0.1813)  5 Sb 2.89-3.14, 6 Ti 2.91-3.22, 1 Hf 3.04
Ti (0.7944, 0.6752, 0.5347)  3 Sb 2.80-2.92, 6 Ti 2.91-3.02, 1 Hf 3.00
Ti (0.8187, 0.2572, 0.8958)  5 Sb 2.89-3.14, 6 Ti 2.91-3.22, 1 Hf 3.04
Ti (0.8958, 0.8187, 0.2572)  5 Sb 2.89-3.14, 6 Ti 2.91-3.22, 1 Hf 3.04
Sb (0.0792, 0.5809, 0.3564)  7 Ti 2.80-3.01, 2 Sb 3.12
Sb (0.3564, 0.0792, 0.5809)  7 Ti 2.80-3.01, 2 Sb 3.12
Sb (0.4191, 0.6436, 0.9208)  7 Ti 2.80-3.01, 2 Sb 3.12
Sb (0.5809, 0.3564, 0.0792)  7 Ti 2.80-3.01, 2 Sb 3.12
Sb (0.6436, 0.9208, 0.4191)  7 Ti 2.80-3.01, 2 Sb 3.12
Sb (0.9208, 0.4191, 0.6436)  7 Ti 2.80-3.01, 2 Sb 3.12

---

No. 8
Crystalline RbPm2AgO5 at its relaxed geometry. Source: the Alexandria database, functional GGA-PBE.

Computed properties:
calculated density: 6.46 g cm⁻³
formation energy (no corrections): -2.006 eV per atom
space group: No. 140
size of the total moment: 4.003 μB per cell
DFT total energy: -56.164 eV per formula unit

Lattice parameters (Å, degrees): 7.8900 7.8900 7.8900 128.89 128.89 75.18
Closest atoms and distances in Å follow each position.
Positions (direct):
Rb (0.2500, 0.2500, 0.0000)  10 O 3.13-3.15, 4 Ag 3.40
Rb (0.7500, 0.7500, 0.0000)  10 O 3.13-3.15, 4 Ag 3.40
Pm (0.1725, 0.6725, 0.8449)  8 O 2.33-2.54
Pm (0.3275, 0.1725, 0.5000)  8 O 2.33-2.54
Pm (0.6725, 0.8275, 0.5000)  8 O 2.33-2.54
Pm (0.8275, 0.3275, 0.1551)  8 O 2.33-2.54
Ag (0.2500, 0.7500, 0.5000)  4 O 2.15
Ag (0.7500, 0.2500, 0.5000)  4 O 2.15
O (0.0000, 0.0000, 0.0000)  4 Pm 2.52
O (0.0219, 0.2514, 0.5000)  1 Ag 2.15, 1 Pm 2.33
O (0.2486, 0.4781, 0.5000)  1 Ag 2.15, 1 Pm 2.33
O (0.2514, 0.7514, 0.2295)  1 Ag 2.15, 1 Pm 2.33
O (0.4781, 0.9781, 0.2295)  1 Ag 2.15, 1 Pm 2.33
O (0.5000, 0.5000, 0.0000)  4 Pm 2.52
O (0.5219, 0.0219, 0.7705)  1 Ag 2.15, 1 Pm 2.33
O (0.7486, 0.2486, 0.7705)  1 Ag 2.15, 1 Pm 2.33
O (0.7514, 0.5219, 0.5000)  1 Ag 2.15, 1 Pm 2.33
O (0.9781, 0.7486, 0.5000)  1 Ag 2.15, 1 Pm 2.33

---

No. 9
Crystalline YSbPt3 at its relaxed geometry. Source: the Alexandria database, functional GGA-PBE.

Computed properties:
calculated density: 9.99 g cm⁻³
formation energy (no corrections): 0.722 eV per atom
space group: No. 221
size of the total moment: 0.000 μB per cell
DFT total energy: -25.099 eV per formula unit

Lattice parameters (Å, degrees): 5.0952 5.0952 5.0952 90.00 90.00 90.00
Closest atoms and distances in Å follow each position.
Positions (direct):
Y (0.0000, 0.0000, 0.0000)  6 Pt 2.55
Sb (0.5000, 0.5000, 0.5000)  12 Pt 3.60
Pt (0.0000, 0.0000, 0.5000)  2 Y 2.55
Pt (0.0000, 0.5000, 0.0000)  2 Y 2.55
Pt (0.5000, 0.0000, 0.0000)  2 Y 2.55

---

No. 10
Crystalline ZnPt2 at its relaxed geometry. Source: the Alexandria database, functional GGA-PBE.

Computed properties:
calculated density: 16.67 g cm⁻³
space group: No. 63
calculated formation energy: -0.35 eV per atom
size of the total moment: 0.000 μB per cell
DFT total energy: -14.410 eV per formula unit

Lattice parameters (Å, degrees): 7.0773 7.0773 4.6298 90.00 90.00 156.95
Closest atoms and distances in Å follow each position.
Positions (direct):
Zn (0.0905, 0.9095, 0.7500)  8 Pt 2.63-2.73, 2 Zn 2.83
Zn (0.9095, 0.0905, 0.2500)  8 Pt 2.63-2.73, 2 Zn 2.83
Pt (0.2498, 0.7502, 0.2500)  2 Zn 2.63, 8 Pt 2.71-2.87
Pt (0.4299, 0.5701, 0.7500)  6 Zn 2.64-2.73, 4 Pt 2.83-2.87
Pt (0.5701, 0.4299, 0.2500)  6 Zn 2.64-2.73, 4 Pt 2.83-2.87
Pt (0.7502, 0.2498, 0.7500)  2 Zn 2.63, 8 Pt 2.71-2.87

---

No. 11
Crystalline Tb3CuPt2 at its relaxed geometry. Source: the Alexandria database, functional GGA-PBE.

Computed properties:
calculated density: 11.26 g cm⁻³
space group: No. 62
calculated formation energy: -0.92 eV per atom
size of the total moment: 0.000 μB per cell
DFT total energy: -35.571 eV per formula unit

Lattice parameters (Å, degrees): 11.6284 4.0319 11.7073 90.00 90.00 90.00
Closest atoms and distances in Å follow each position.
Positions (direct):
Tb (0.0474, 0.2500, 0.1267)  5 Pt 2.97-3.03, 1 Cu 3.07
Tb (0.1287, 0.7500, 0.5663)  4 Pt 2.92-3.09, 3 Cu 2.98-2.99
Tb (0.2137, 0.2500, 0.8152)  2 Cu 2.88, 3 Pt 2.88-2.94
Tb (0.2863, 0.7500, 0.3152)  2 Cu 2.88, 3 Pt 2.88-2.94
Tb (0.3713, 0.2500, 0.0663)  4 Pt 2.92-3.09, 3 Cu 2.98-2.99
Tb (0.4526, 0.7500, 0.6267)  5 Pt 2.97-3.03, 1 Cu 3.07
Tb (0.5474, 0.2500, 0.3733)  5 Pt 2.97-3.03, 1 Cu 3.07
Tb (0.6287, 0.7500, 0.9337)  4 Pt 2.92-3.09, 3 Cu 2.98-2.99
Tb (0.7137, 0.2500, 0.6848)  2 Cu 2.88, 3 Pt 2.88-2.94
Tb (0.7863, 0.7500, 0.1848)  2 Cu 2.88, 3 Pt 2.88-2.94
Tb (0.8713, 0.2500, 0.4337)  4 Pt 2.92-3.09, 3 Cu 2.98-2.99
Tb (0.9526, 0.7500, 0.8733)  5 Pt 2.97-3.03, 1 Cu 3.07
Cu (0.1211, 0.2500, 0.3781)  3 Pt 2.59-2.66, 2 Tb 2.88
Cu (0.3789, 0.7500, 0.8781)  3 Pt 2.59-2.66, 2 Tb 2.88
Cu (0.6211, 0.2500, 0.1219)  3 Pt 2.59-2.66, 2 Tb 2.88
Cu (0.8789, 0.7500, 0.6219)  3 Pt 2.59-2.66, 2 Tb 2.88
Pt (0.0012, 0.7500, 0.3073)  2 Cu 2.59, 1 Tb 2.88
Pt (0.1826, 0.7500, 0.9952)  1 Cu 2.66, 2 Tb 2.94
Pt (0.3174, 0.2500, 0.4952)  1 Cu 2.66, 2 Tb 2.94
Pt (0.4988, 0.2500, 0.8073)  2 Cu 2.59, 1 Tb 2.88
Pt (0.5012, 0.7500, 0.1927)  2 Cu 2.59, 1 Tb 2.88
Pt (0.6826, 0.7500, 0.5048)  1 Cu 2.66, 2 Tb 2.94
Pt (0.8174, 0.2500, 0.0048)  1 Cu 2.66, 2 Tb 2.94
Pt (0.9988, 0.2500, 0.6927)  2 Cu 2.59, 1 Tb 2.88

---

Q: Among the records above, which one has the lowest calculated density?
A: Rb4PaS5

---

Q: Number 2 is which compound?
A: Hf2GaW

---

Q: Number 5 is which compound?
A: Tl2TeS